Record 1
# CrOs4W, relaxed, DFT PBE
# - Size of the total moment: 2.76 μB per formula unit
# - ΔE_f: 0.55 eV/atom
# - Volume: 375 Å³/cell
# - Theoretical density: 17.66 g cm⁻³
data_CrOs4W
_chemical_formula_sum 'Cr4 Os16 W4'
_cell_length_a 7.210
_cell_length_b 7.210
_cell_length_c 7.210
_cell_angle_alpha 90.00
_cell_angle_beta 90.00
_cell_angle_gamma 90.00
_symmetry_space_group_name_H-M 'F -4 3 m'
_symmetry_Int_Tables_number 216
_symmetry_space_group_name_Hall 'F -4 2 3'
loop_
_atom_site_label
_atom_site_type_symbol
_atom_site_fract_x
_atom_site_fract_y
_atom_site_fract_z
_atom_site_occupancy
Cr1 Cr 0.000 0.000 0.000 1
Os1 Os 0.126 0.126 0.626 1
W1 W 0.250 0.250 0.250 1

Record 2
# ZrPI2O, relaxed, DFT PBE
# - E above lowest polymorph: 483 meV per atom
# - Size of the total moment: 1.49 μB per formula unit
# - Volume: 113 Å³/cell
# - Theoretical density: 5.77 g cm⁻³
# - ΔE_f (raw): -0.04 eV per atom
data_ZrPI2O
_chemical_formula_sum 'Zr1 P1 I2 O1'
_cell_length_a 5.660
_cell_length_b 5.660
_cell_length_c 3.522
_cell_angle_alpha 90.00
_cell_angle_beta 90.00
_cell_angle_gamma 90.00
_symmetry_space_group_name_H-M 'P 4/m m m'
_symmetry_Int_Tables_number 123
_symmetry_space_group_name_Hall '-P 4 2'
loop_
_atom_site_label
_atom_site_type_symbol
_atom_site_fract_x
_atom_site_fract_y
_atom_site_fract_z
_atom_site_occupancy
Zr1 Zr 0.000 0.000 0.000 1
P1 P 0.500 0.500 0.500 1
I1 I 0.000 0.500 0.500 1
O1 O 0.500 0.500 0.000 1

- The highest volume belongs to which entry?
  CrOs4W